NaMoOF2 after structural relaxation. Source: Alexandria, functional PBE+U.

a b c (Å): 3.814 3.814 4.354
angles (deg): 90.00 90.00 90.00
Positions (direct):
Na (0.000, 0.000, 0.000)
Mo (0.500, 0.500, 0.500)
O (0.000, 0.000, 0.500)
F (0.000, 0.500, 0.000)
F (0.500, 0.000, 0.000)

As for the energy above the lowest structure with this stoichiometry: 1048 meV/atom. The symmetry is No. 123. The total energy is -4.419 eV per atom.